# 1
Density functional theory data (GGA-PBE) for MgZnSb2 after structural relaxation.

Summary:
- electronic total energy (Ry/atom) = -0.2021
- N(E_F) (states/eV/cell) = 1.401
- E_form (uncorrected) (eV per formula unit) = 0.1
- density (g/cm³) = 5.83
- polymorph energy (0 for the lowest one) (meV per atom) = 57

abc: 5.2577 5.2577 3.6566
angles: 98.54 98.54 104.40
Closest atoms and distances in Å follow each position.
Sites, in units of the cell vectors:
Mg 0.0000 0.0000 0.0000  4 Sb 2.97, 2 Zn 3.22
Zn 0.5000 0.5000 0.0000  4 Sb 2.97, 2 Mg 3.22
Sb 0.0000 0.5000 0.5000  2 Mg 2.97, 2 Zn 2.97, 2 Sb 3.22
Sb 0.5000 0.0000 0.5000  2 Mg 2.97, 2 Zn 2.97, 2 Sb 3.22



# 2
Density functional theory data (GGA-PBE) for MgZnSb2 after structural relaxation.

Summary:
- electronic total energy (Ry/atom) = -0.2051
- N(E_F) (states/eV/cell) = 2.366
- E_form (uncorrected) (eV per formula unit) = 0.0
- density (g/cm³) = 5.68
- polymorph energy (0 for the lowest one) (meV per atom) = 15

abc: 7.8401 7.8401 7.8401
angles: 28.56 28.56 28.56
Closest atoms and distances in Å follow each position.
Sites, in units of the cell vectors:
Mg 0.0000 0.0000 0.0000  6 Sb 3.03
Zn 0.5000 0.5000 0.5000  6 Sb 2.81
Sb 0.2425 0.2425 0.2425  3 Zn 2.81, 3 Mg 3.03
Sb 0.7575 0.7575 0.7575  3 Zn 2.81, 3 Mg 3.03



# 3
Density functional theory data (GGA-PBE) for MgZn2Sb2 after structural relaxation.

Summary:
- electronic total energy (Ry/atom) = -0.1804
- N(E_F) (states/eV/cell) = 2.210
- E_form (uncorrected) (eV per formula unit) = 0.1
- density (g/cm³) = 5.61

abc: 7.9399 7.9399 7.9399
angles: 150.92 150.92 41.59
Closest atoms and distances in Å follow each position.
Sites, in units of the cell vectors:
Mg 0.0000 0.0000 0.0000  8 Sb 3.31
Zn 0.2500 0.7500 0.5000  4 Sb 2.80, 4 Zn 2.82
Zn 0.7500 0.2500 0.5000  4 Sb 2.80, 4 Zn 2.82
Sb 0.3827 0.3827 0.0000  4 Zn 2.80
Sb 0.6173 0.6173 0.0000  4 Zn 2.80



# 4
Density functional theory data (GGA-PBE) for MgZnSb4 after structural relaxation.

Summary:
- electronic total energy (Ry/atom) = -0.2165
- N(E_F) (states/eV/cell) = 3.131
- E_form (uncorrected) (eV per formula unit) = 1.7
- density (g/cm³) = 5.59

abc: 6.2326 6.2326 6.2326
angles: 60.00 60.00 60.00
Closest atoms and distances in Å follow each position.
Sites, in units of the cell vectors:
Mg 0.0000 0.0000 0.0000  12 Sb 3.66, 4 Zn 3.82
Zn 0.2500 0.2500 0.2500  12 Sb 3.65, 4 Mg 3.82
Sb 0.1263 0.6246 0.6246  6 Sb 3.11-3.13
Sb 0.6246 0.1263 0.6246  6 Sb 3.11-3.13
Sb 0.6246 0.6246 0.1263  6 Sb 3.11-3.13
Sb 0.6246 0.6246 0.6246  6 Sb 3.11-3.13



# 5
Density functional theory data (GGA-PBE) for MgZnSb2 after structural relaxation.

Summary:
- electronic total energy (Ry/atom) = -0.2018
- N(E_F) (states/eV/cell) = 1.614
- E_form (uncorrected) (eV per formula unit) = 0.1
- density (g/cm³) = 5.89
- polymorph energy (0 for the lowest one) (meV per atom) = 61

abc: 3.5979 4.0826 6.4584
angles: 90.00 98.11 90.00
Closest atoms and distances in Å follow each position.
Sites, in units of the cell vectors:
Mg 0.0000 0.0000 0.0000  8 Sb 3.09-3.25, 2 Zn 3.23
Zn 0.0000 0.0000 0.5000  4 Sb 2.98, 2 Mg 3.23
Sb 0.4754 0.5000 0.7469  2 Zn 2.98, 4 Mg 3.09-3.25, 2 Sb 3.22-3.25
Sb 0.5246 0.5000 0.2531  2 Zn 2.98, 4 Mg 3.09-3.25, 2 Sb 3.22-3.25



# 6
Density functional theory data (GGA-PBE) for MgZnSb2 after structural relaxation.

Summary:
- electronic total energy (Ry/atom) = -0.1974
- N(E_F) (states/eV/cell) = 6.056
- E_form (uncorrected) (eV per formula unit) = 0.4
- density (g/cm³) = 4.45
- polymorph energy (0 for the lowest one) (meV per atom) = 120

abc: 7.2978 7.2978 7.2978
angles: 125.40 125.40 80.87
Closest atoms and distances in Å follow each position.
Sites, in units of the cell vectors:
Mg 0.0000 0.0000 0.0000  4 Sb 2.86
Mg 0.7500 0.2500 0.5000  4 Sb 2.86
Zn 0.2500 0.7500 0.5000  4 Sb 2.64
Zn 0.5000 0.5000 0.0000  4 Sb 2.64
Sb 0.1524 0.6250 0.0274  2 Zn 2.64, 2 Mg 2.86
Sb 0.3750 0.4024 0.5274  2 Zn 2.64, 2 Mg 2.86
Sb 0.5976 0.1250 0.9726  2 Zn 2.64, 2 Mg 2.86
Sb 0.8750 0.8476 0.4726  2 Zn 2.64, 2 Mg 2.86